(1)
# LiNd2NpSe5

A relaxed LiNd2NpSe5 crystal (PBE-GGA, Alexandria via LeMat-Bulk).

Properties
The value obtained for the calculated total energy is -111.096 eV/cell. The density of states at the Fermi level is 9.8 states/eV/f.u. The calculation puts the uncorrected formation energy at -147 kJ per mole of atoms. The symmetry is Cmc2_1 (36). The density comes out at 6.85 g cm⁻³. As for the crystal system: orthorhombic.

```
LiNd2NpSe5
1.0
4.155 0.000 0.000
-2.078 8.657 0.000
0.000 0.000 12.503
Li Nd Se Np
2 4 10 2
Direct
0.518 0.036 0.977 Li
0.482 0.964 0.477 Li
0.126 0.251 0.299 Nd
0.109 0.218 0.686 Nd
0.891 0.782 0.186 Nd
0.874 0.749 0.799 Nd
0.365 0.730 0.999 Se
0.953 0.906 0.572 Se
0.635 0.270 0.499 Se
0.500 0.000 0.282 Se
0.287 0.575 0.663 Se
0.309 0.617 0.344 Se
0.713 0.425 0.163 Se
0.047 0.094 0.072 Se
0.500 0.000 0.782 Se
0.691 0.383 0.844 Se
0.801 0.603 0.504 Np
0.199 0.397 0.004 Np
```



(2)
# LiNdNp2Se4

A relaxed LiNdNp2Se4 crystal (PBE-GGA, Alexandria via LeMat-Bulk).

Properties
The value obtained for the calculated total energy is -57.152 eV/cell. The density of states at the Fermi level is 19.9 states/eV/f.u. The calculation puts the uncorrected formation energy at -128 kJ per mole of atoms. The symmetry is P2/m (10). The density comes out at 7.86 g cm⁻³. As for the crystal system: monoclinic.

```
LiNdNp2Se4
1.0
-0.789 0.830 -3.965
6.568 -2.156 -1.758
-4.500 -5.569 -0.270
Np Se Nd Li
2 4 1 1
Direct
0.500 0.000 0.500 Np
0.000 0.500 0.500 Np
0.500 0.740 0.747 Se
0.500 0.260 0.253 Se
0.000 0.258 0.752 Se
0.000 0.742 0.248 Se
0.000 0.000 0.000 Nd
0.500 0.500 0.000 Li
```



(3)
# LiNd2NpSe4

A relaxed LiNd2NpSe4 crystal (PBE-GGA, Alexandria via LeMat-Bulk).

Properties
The value obtained for the calculated total energy is -50.717 eV/cell. The density of states at the Fermi level is 13.1 states/eV/f.u. The calculation puts the uncorrected formation energy at -149 kJ per mole of atoms. The symmetry is P2/m (10). The density comes out at 6.97 g cm⁻³. As for the crystal system: monoclinic.

```
LiNd2NpSe4
1.0
-1.157 -0.198 3.991
4.753 -5.264 1.117
6.322 2.811 1.973
Se Nd Li Np
4 2 1 1
Direct
0.500 0.737 0.250 Se
0.000 0.736 0.760 Se
0.500 0.263 0.750 Se
0.000 0.264 0.240 Se
0.500 0.000 0.500 Nd
0.000 0.000 0.000 Nd
0.500 0.500 0.000 Li
0.000 0.500 0.500 Np
```



(4)
# Li4NdNp3Se8

A relaxed Li4NdNp3Se8 crystal (PBE-GGA, Alexandria via LeMat-Bulk).

Properties
The value obtained for the calculated total energy is -99.723 eV/cell. The density of states at the Fermi level is 19.9 states/eV/f.u. The calculation puts the uncorrected formation energy at -124 kJ per mole of atoms. The symmetry is C2/m (12). The density comes out at 6.50 g cm⁻³. As for the crystal system: monoclinic.

```
Li4NdNp3Se8
1.0
-6.108 4.872 -2.762
-4.821 -2.729 5.849
7.431 3.271 1.767
Se Np Li Nd
8 3 4 1
Direct
0.248 0.245 0.496 Se
0.255 0.759 0.003 Se
0.748 0.759 0.003 Se
0.745 0.244 0.491 Se
0.752 0.755 0.504 Se
0.255 0.756 0.509 Se
0.252 0.241 0.997 Se
0.745 0.241 0.997 Se
0.000 0.500 0.500 Np
0.500 0.500 0.000 Np
0.500 0.500 0.500 Np
0.000 0.000 0.500 Li
0.500 0.000 0.500 Li
0.500 0.000 0.000 Li
0.000 0.000 0.000 Li
0.000 0.500 0.000 Nd
```



(5)
# Li4Nd3NpSe8

A relaxed Li4Nd3NpSe8 crystal (PBE-GGA, Alexandria via LeMat-Bulk).

Properties
The value obtained for the calculated total energy is -87.346 eV/cell. The density of states at the Fermi level is 6.5 states/eV/f.u. The calculation puts the uncorrected formation energy at -148 kJ per mole of atoms. The symmetry is R-3m (166). The density comes out at 5.57 g cm⁻³. As for the crystal system: trigonal.

```
Li4Nd3NpSe8
1.0
8.379 0.000 0.000
0.000 8.117 -0.195
-4.190 -4.184 5.927
Se Li Nd Np
8 4 3 1
Direct
0.251 0.758 0.501 Se
0.749 0.242 0.992 Se
0.251 0.758 0.008 Se
0.749 0.242 0.499 Se
0.754 0.761 0.507 Se
0.246 0.239 0.493 Se
0.243 0.242 0.992 Se
0.757 0.758 0.008 Se
0.000 0.000 0.500 Li
0.500 0.000 0.500 Li
0.000 0.000 0.000 Li
0.500 0.000 0.000 Li
0.500 0.500 0.000 Nd
0.500 0.500 0.500 Nd
0.000 0.500 0.500 Nd
0.000 0.500 0.000 Np
```



(6)
# Li3Nd3NpSe8

A relaxed Li3Nd3NpSe8 crystal (PBE-GGA, Alexandria via LeMat-Bulk).

Properties
The value obtained for the calculated total energy is -83.817 eV/cell. The density of states at the Fermi level is 4.4 states/eV/f.u. The calculation puts the uncorrected formation energy at -148 kJ per mole of atoms. The symmetry is R-3m (166). The density comes out at 5.49 g cm⁻³. As for the crystal system: trigonal.

```
Li3Nd3NpSe8
1.0
8.434 0.000 0.000
-4.217 7.303 -0.025
0.000 -4.850 6.505
Nd Li Se Np
3 3 8 1
Direct
0.500 0.500 0.500 Nd
0.500 0.000 0.500 Nd
0.000 0.500 0.500 Nd
0.000 0.500 0.000 Li
0.000 0.000 0.000 Li
0.500 0.500 0.000 Li
0.757 0.993 0.250 Se
0.243 0.007 0.750 Se
0.247 0.494 0.241 Se
0.757 0.514 0.250 Se
0.243 0.486 0.750 Se
0.753 0.506 0.759 Se
0.764 0.007 0.750 Se
0.236 0.993 0.250 Se
0.000 0.000 0.500 Np
```



(7)
# LiNd2NpTe4

A relaxed LiNd2NpTe4 crystal (PBE-GGA, Alexandria via LeMat-Bulk).

Properties
The value obtained for the calculated total energy is -46.133 eV/cell. The density of states at the Fermi level is 14.1 states/eV/f.u. The calculation puts the uncorrected formation energy at -111 kJ per mole of atoms. The symmetry is P2/m (10). The density comes out at 7.03 g cm⁻³. As for the crystal system: monoclinic.

```
LiNd2NpTe4
1.0
4.427 0.000 0.000
0.000 7.688 0.128
0.000 -2.695 7.188
Te Li Nd Np
4 1 2 1
Direct
0.000 0.248 0.761 Te
0.000 0.752 0.239 Te
0.500 0.761 0.764 Te
0.500 0.239 0.236 Te
0.000 0.000 0.000 Li
0.500 0.000 0.500 Nd
0.000 0.500 0.500 Nd
0.500 0.500 0.000 Np
```



(8)
# LiNd2NpTe5

A relaxed LiNd2NpTe5 crystal (PBE-GGA, Alexandria via LeMat-Bulk).

Properties
The value obtained for the calculated total energy is -99.968 eV/cell. The density of states at the Fermi level is 9.1 states/eV/f.u. The calculation puts the uncorrected formation energy at -106 kJ per mole of atoms. The symmetry is Cmc2_1 (36). The density comes out at 7.06 g cm⁻³. As for the crystal system: orthorhombic.

```
LiNd2NpTe5
1.0
-2.961 0.838 3.169
-4.742 -5.882 -5.953
4.397 -10.516 6.889
Te Li Np Nd
10 2 2 4
Direct
0.715 0.430 0.169 Te
0.498 0.996 0.781 Te
0.634 0.268 0.499 Te
0.048 0.096 0.073 Te
0.688 0.376 0.844 Te
0.952 0.904 0.573 Te
0.502 0.004 0.281 Te
0.312 0.624 0.344 Te
0.285 0.570 0.669 Te
0.366 0.732 0.999 Te
0.443 0.887 0.462 Li
0.557 0.113 0.962 Li
0.200 0.400 0.009 Np
0.800 0.600 0.509 Np
0.893 0.785 0.186 Nd
0.127 0.255 0.303 Nd
0.873 0.745 0.803 Nd
0.107 0.215 0.686 Nd
```



(9)
# LiNd3Np3Te8

A relaxed LiNd3Np3Te8 crystal (PBE-GGA, Alexandria via LeMat-Bulk).

Properties
The value obtained for the calculated total energy is -95.354 eV/cell. The density of states at the Fermi level is 35.4 states/eV/f.u. The calculation puts the uncorrected formation energy at -98 kJ per mole of atoms. The symmetry is R-3m (166). The density comes out at 7.34 g cm⁻³. As for the crystal system: trigonal.

```
LiNd3Np3Te8
1.0
8.844 0.003 0.001
-4.419 7.656 -0.027
-0.001 -5.080 7.276
Te Nd Np Li
8 3 3 1
Direct
0.248 0.995 0.743 Te
0.248 0.497 0.744 Te
0.252 0.505 0.257 Te
0.752 0.005 0.257 Te
0.752 0.503 0.256 Te
0.748 0.495 0.743 Te
0.746 0.994 0.743 Te
0.254 0.006 0.257 Te
0.000 0.500 0.000 Nd
0.500 0.500 0.000 Nd
0.000 0.000 0.000 Nd
0.500 0.000 0.500 Np
0.000 0.500 0.500 Np
0.500 0.500 0.500 Np
0.000 0.000 0.500 Li
```



(10)
# LiNd2O

A relaxed LiNd2O crystal (PBE-GGA, Alexandria via LeMat-Bulk).

Properties
The value obtained for the calculated total energy is -20.687 eV/cell. The density of states at the Fermi level is 3.4 states/eV/f.u. The calculation puts the uncorrected formation energy at -103 kJ per mole of atoms. The symmetry is R-3m (166). The density comes out at 4.91 g cm⁻³. As for the crystal system: trigonal.

```
LiNd2O
1.0
3.617 0.000 0.000
1.809 3.133 0.000
1.809 1.044 9.292
O Nd Li
1 2 1
Direct
0.500 0.500 0.500 O
0.883 0.883 0.352 Nd
0.117 0.117 0.648 Nd
0.000 0.000 0.000 Li
```



(11)
# LiNd2O6

A relaxed LiNd2O6 crystal (PBE-GGA, Alexandria via LeMat-Bulk).

Properties
The value obtained for the calculated total energy is -58.307 eV/cell. The density of states at the Fermi level is 5.2 states/eV/f.u. The calculation puts the uncorrected formation energy at -183 kJ per mole of atoms. The energy relative to the lowest polymorph listed for this composition is 0.233 kcal/mol of atoms. The symmetry is C2/m (12). The density comes out at 4.75 g cm⁻³. As for the crystal system: monoclinic.

```
LiNd2O6
1.0
-2.524 -4.115 -5.289
0.098 -6.671 -2.599
-3.803 -2.199 1.617
Li Nd O
1 2 6
Direct
0.000 0.000 0.000 Li
0.320 0.320 0.149 Nd
0.680 0.680 0.851 Nd
0.268 0.268 0.698 O
0.856 0.856 0.971 O
0.496 0.496 0.164 O
0.144 0.144 0.029 O
0.504 0.504 0.836 O
0.732 0.732 0.302 O
```



(12)
# LiNd2O6

A relaxed LiNd2O6 crystal (PBE-GGA, Alexandria via LeMat-Bulk).

Properties
The value obtained for the calculated total energy is -58.398 eV/cell. The density of states at the Fermi level is 1.3 states/eV/f.u. The calculation puts the uncorrected formation energy at -184 kJ per mole of atoms. The energy relative to the lowest polymorph listed for this composition is 0.000 kcal/mol of atoms. The symmetry is C2/m (12). The density comes out at 4.92 g cm⁻³. As for the crystal system: monoclinic.

```
LiNd2O6
1.0
2.197 6.732 0.070
-2.197 6.732 0.070
0.000 0.802 4.478
O Nd Li
6 2 1
Direct
0.487 0.487 0.860 O
0.136 0.136 0.538 O
0.864 0.864 0.462 O
0.513 0.513 0.140 O
0.257 0.257 0.786 O
0.743 0.743 0.214 O
0.682 0.682 0.756 Nd
0.318 0.318 0.244 Nd
0.000 0.000 0.500 Li
```